Record 1
Computed, not measured: a relaxed structure of AlSb2Cl at the GGA-PBE level of DFT.

* polymorph energy (0 for the lowest one): 376.0 meV/atom
* density: 5.36 Mg/m³
* uncorrected formation energy: 0.03 eV/atom

Lattice parameters (Å, degrees): 9.5098 9.5098 9.5098 20.78 20.78 20.78
Fractional coordinates of all 4 atoms:
Sb (0.9961, 0.9961, 0.9961)
Sb (0.5039, 0.5039, 0.5039)
Al (0.2500, 0.2500, 0.2500)
Cl (0.7500, 0.7500, 0.7500)

Record 2
Computed, not measured: a relaxed structure of AlSb3Cl at the GGA-PBE level of DFT.

* polymorph energy (0 for the lowest one): 438.8 meV/atom
* density: 4.63 Mg/m³
* uncorrected formation energy: 0.85 eV/atom

Lattice parameters (Å, degrees): 5.3512 5.3512 5.3512 90.00 90.00 90.00
Fractional coordinates of all 5 atoms:
Sb (0.0000, 0.5000, 0.0000)
Sb (0.0000, 0.0000, 0.5000)
Sb (0.5000, 0.0000, 0.0000)
Al (0.5000, 0.5000, 0.5000)
Cl (0.0000, 0.0000, 0.0000)

Record 3
Computed, not measured: a relaxed structure of AlSb2Cl at the GGA-PBE level of DFT.

* polymorph energy (0 for the lowest one): 373.3 meV/atom
* density: 4.68 Mg/m³
* uncorrected formation energy: 0.02 eV/atom

Lattice parameters (Å, degrees): 4.3764 4.3764 11.7497 79.27 79.27 90.00
Fractional coordinates of all 8 atoms:
Sb (0.5886, 0.1250, 0.2500)
Sb (0.1614, 0.6250, 0.2500)
Sb (0.3750, 0.4114, 0.7500)
Sb (0.8750, 0.8386, 0.7500)
Al (0.5000, 0.5000, 0.0000)
Al (0.2500, 0.7500, 0.5000)
Cl (0.0000, 0.0000, 0.0000)
Cl (0.7500, 0.2500, 0.5000)

Record 4
Computed, not measured: a relaxed structure of AlSb2Cl at the GGA-PBE level of DFT.

* polymorph energy (0 for the lowest one): 495.9 meV/atom
* density: 5.37 Mg/m³
* uncorrected formation energy: 0.15 eV/atom

Lattice parameters (Å, degrees): 5.3441 5.3441 3.3100 90.00 90.00 90.08
Fractional coordinates of all 4 atoms:
Sb (0.0000, 0.0000, 0.0000)
Sb (0.5000, 0.5000, 0.0000)
Al (0.5000, 0.0000, 0.5000)
Cl (0.0000, 0.5000, 0.5000)

Record 5
Computed, not measured: a relaxed structure of AlSb5Se5Cl4 at the GGA-PBE level of DFT.

* density: 3.63 Mg/m³
* uncorrected formation energy: -0.65 eV/atom

Lattice parameters (Å, degrees): 9.7906 10.6494 12.1116 107.56 109.22 101.58
Fractional coordinates of all 30 atoms:
Al (0.9331, 0.6466, 0.2968)
Al (0.0669, 0.3534, 0.7032)
Sb (0.7688, 0.2157, 0.9310)
Sb (0.2312, 0.7843, 0.0690)
Sb (0.9099, 0.0222, 0.8207)
Sb (0.0901, 0.9778, 0.1793)
Sb (0.5830, 0.8279, 0.9287)
Sb (0.4170, 0.1721, 0.0713)
Sb (0.4244, 0.8430, 0.6852)
Sb (0.5756, 0.1570, 0.3148)
Sb (0.7035, 0.6238, 0.5883)
Sb (0.2965, 0.3762, 0.4117)
Se (0.7206, 0.0928, 0.0801)
Se (0.2794, 0.9072, 0.9199)
Se (0.4899, 0.1124, 0.7587)
Se (0.5101, 0.8876, 0.2413)
Se (0.8454, 0.8209, 0.8985)
Se (0.1546, 0.1791, 0.1015)
Se (0.6430, 0.8637, 0.6003)
Se (0.3570, 0.1363, 0.3997)
Se (0.4928, 0.5226, 0.6557)
Se (0.5072, 0.4774, 0.3443)
Cl (0.1663, 0.7449, 0.3234)
Cl (0.8337, 0.2551, 0.6766)
Cl (0.8940, 0.7779, 0.4505)
Cl (0.1060, 0.2221, 0.5495)
Cl (0.9123, 0.4446, 0.3046)
Cl (0.0877, 0.5554, 0.6954)
Cl (0.7775, 0.6270, 0.1144)
Cl (0.2225, 0.3730, 0.8856)

Record 6
Computed, not measured: a relaxed structure of AlSb2TeCl at the GGA-PBE level of DFT.

* polymorph energy (0 for the lowest one): 0.0 meV/atom
* density: 4.81 Mg/m³
* uncorrected formation energy: 0.32 eV/atom

Lattice parameters (Å, degrees): 5.3411 5.3411 5.2490 90.00 90.00 90.00
Fractional coordinates of all 5 atoms:
Sb (0.0000, 0.5000, 0.0000)
Sb (0.5000, 0.0000, 0.0000)
Te (0.0000, 0.0000, 0.5000)
Al (0.0000, 0.0000, 0.0000)
Cl (0.5000, 0.5000, 0.5000)

Record 7
Computed, not measured: a relaxed structure of AlSbTe2Cl at the GGA-PBE level of DFT.

* polymorph energy (0 for the lowest one): 0.0 meV/atom
* density: 4.85 Mg/m³
* uncorrected formation energy: 0.26 eV/atom

Lattice parameters (Å, degrees): 5.2673 5.2673 5.4261 90.00 90.00 90.00
Fractional coordinates of all 5 atoms:
Sb (0.0000, 0.0000, 0.5000)
Te (0.0000, 0.5000, 0.0000)
Te (0.5000, 0.0000, 0.0000)
Al (0.0000, 0.0000, 0.0000)
Cl (0.5000, 0.5000, 0.5000)

Record 8
Computed, not measured: a relaxed structure of AlSb2TeCl at the GGA-PBE level of DFT.

* polymorph energy (0 for the lowest one): 476.0 meV/atom
* density: 4.53 Mg/m³
* uncorrected formation energy: 0.79 eV/atom

Lattice parameters (Å, degrees): 5.2881 5.2881 5.6889 90.00 90.00 90.00
Fractional coordinates of all 5 atoms:
Sb (0.0000, 0.5000, 0.0000)
Sb (0.5000, 0.0000, 0.0000)
Te (0.0000, 0.0000, 0.5000)
Al (0.5000, 0.5000, 0.5000)
Cl (0.0000, 0.0000, 0.0000)

Record 9
Computed, not measured: a relaxed structure of AlSbTe2Cl at the GGA-PBE level of DFT.

* polymorph energy (0 for the lowest one): 492.1 meV/atom
* density: 4.48 Mg/m³
* uncorrected formation energy: 0.76 eV/atom

Lattice parameters (Å, degrees): 5.6034 5.6034 5.1901 90.00 90.00 90.00
Fractional coordinates of all 5 atoms:
Sb (0.0000, 0.0000, 0.5000)
Te (0.0000, 0.5000, 0.0000)
Te (0.5000, 0.0000, 0.0000)
Al (0.5000, 0.5000, 0.5000)
Cl (0.0000, 0.0000, 0.0000)

Record 10
Computed, not measured: a relaxed structure of TiAl2SbCl at the GGA-PBE level of DFT.

* density: 2.69 Mg/m³
* uncorrected formation energy: 0.70 eV/atom

Lattice parameters (Å, degrees): 5.4538 5.3812 5.4538 90.00 90.00 90.00
Site moments in Bohr magnetons follow the coordinates.
Fractional coordinates of all 5 atoms:
Sb (0.0000, 0.0000, 0.0000)  -0.02
Cl (0.5000, 0.5000, 0.5000)  0.02
Al (0.0000, 0.0000, 0.5000)  0.01
Al (0.5000, 0.0000, 0.0000)  0.02
Ti (0.0000, 0.5000, 0.0000)  1.82

Record 11
Computed, not measured: a relaxed structure of Al2SbWCl at the GGA-PBE level of DFT.

* density: 4.41 Mg/m³
* uncorrected formation energy: 1.60 eV/atom

Lattice parameters (Å, degrees): 5.4171 5.0650 5.4171 90.00 90.00 90.00
Site moments in Bohr magnetons follow the coordinates.
Fractional coordinates of all 5 atoms:
Sb (0.0000, 0.0000, 0.0000)  -0.02
Al (0.0000, 0.0000, 0.5000)  -0.01
Al (0.5000, 0.0000, 0.0000)  -0.02
W (0.5000, 0.5000, 0.5000)  3.26
Cl (0.0000, 0.5000, 0.0000)  0.04

Record 12
Computed, not measured: a relaxed structure of Y2AlSbCl at the GGA-PBE level of DFT.

* density: 4.08 Mg/m³
* uncorrected formation energy: -0.24 eV/atom

Lattice parameters (Å, degrees): 5.6370 4.6397 5.6370 90.00 90.00 90.00
Fractional coordinates of all 5 atoms:
Y (0.0000, 0.0000, 0.5000)
Y (0.5000, 0.0000, 0.0000)
Sb (0.5000, 0.5000, 0.5000)
Al (0.0000, 0.0000, 0.0000)
Cl (0.0000, 0.5000, 0.0000)